Entry one
This record from the Alexandria database describes crystalline TlB2Br at its relaxed geometry. The functional is PBE.

Results
**DOS at the Fermi energy**: 11.7 states/eV/cell
**ρ**: 6.8 g/cm³
**SG**: Fm-3m, No. 225
**Total magnetization**: 0.00 μB/f.u.

abc: 6.690 6.690 6.690
angles: 90.00 90.00 90.00
Fractional positions:
Tl: 0.000 0.000 0.000
Tl: 0.000 0.500 0.500
Tl: 0.500 0.000 0.500
Tl: 0.500 0.500 0.000
B: 0.250 0.250 0.250
B: 0.250 0.250 0.750
B: 0.250 0.750 0.250
B: 0.250 0.750 0.750
B: 0.750 0.250 0.250
B: 0.750 0.250 0.750
B: 0.750 0.750 0.250
B: 0.750 0.750 0.750
Br: 0.000 0.000 0.500
Br: 0.000 0.500 0.000
Br: 0.500 0.000 0.000
Br: 0.500 0.500 0.500

Entry two
This record from the Alexandria database describes crystalline TlB2Br at its relaxed geometry. The functional is PBE.

Results
**DOS at the Fermi energy**: 0.3 states/eV/cell
**ρ**: 6.3 g/cm³
**SG**: I-42d, No. 122
**Total magnetization**: 0.00 μB/f.u.

abc: 5.424 5.424 10.985
angles: 90.00 90.00 90.00
Fractional positions:
Tl: 0.000 0.000 0.000
Tl: 0.000 0.500 0.250
Tl: 0.500 0.000 0.750
Tl: 0.500 0.500 0.500
B: 0.236 0.250 0.125
B: 0.250 0.736 0.375
B: 0.250 0.764 0.875
B: 0.264 0.250 0.625
B: 0.736 0.750 0.625
B: 0.750 0.236 0.875
B: 0.750 0.264 0.375
B: 0.764 0.750 0.125
Br: 0.000 0.000 0.500
Br: 0.000 0.500 0.750
Br: 0.500 0.000 0.250
Br: 0.500 0.500 0.000

Most favorable first, least favorable last: entry two, entry one